1.
Computed, not measured: crystalline Th2TlCu3 at its relaxed geometry at the PBE level of DFT.

Results
Raw total energy: -5.02 eV per atom
Total magnetic moment: 0.0 μB per formula unit
Formation energy from the elements: -106 meV/atom

Cell and atoms, written as CIF:
```
data_Th2TlCu3
_chemical_formula_sum 'Th16 Tl8 Cu24'
_space_group_name_H-M_alt 'F m m m'
_space_group_IT_number 69
_space_group_name_Hall '-F 2 2'
_cell_length_a 6.983
_cell_length_b 9.281
_cell_length_c 16.049
_cell_angle_alpha 90.00
_cell_angle_beta 90.00
_cell_angle_gamma 90.00
loop_
_atom_site_label
_atom_site_fract_x
_atom_site_fract_y
_atom_site_fract_z
Th1 0.235 0.000 0.000
Th2 0.250 0.250 0.250
Tl1 0.000 0.000 0.335
Cu1 0.000 0.000 0.162
Cu2 0.000 0.242 0.080
```



2.
Computed, not measured: crystalline Th4Tl5Cu2 at its relaxed geometry at the PBE level of DFT.

Results
Raw total energy: -4.64 eV per atom
Total magnetic moment: 0.0 μB per formula unit
Formation energy from the elements: -123 meV/atom

Cell and atoms, written as CIF:
```
data_Th4Tl5Cu2
_chemical_formula_sum 'Th4 Tl5 Cu2'
_space_group_name_H-M_alt 'P 1 2/m 1'
_space_group_IT_number 10
_space_group_name_Hall '-P 2y'
_cell_length_a 8.356
_cell_length_b 3.432
_cell_length_c 10.255
_cell_angle_alpha 90.00
_cell_angle_beta 94.47
_cell_angle_gamma 90.00
loop_
_atom_site_label
_atom_site_fract_x
_atom_site_fract_y
_atom_site_fract_z
Th1 0.172 0.000 0.358
Th2 0.234 0.000 0.947
Tl1 0.179 0.500 0.655
Tl2 0.455 0.500 0.187
Tl3 0.500 0.500 0.500
Cu1 0.054 0.500 0.127
```



3.
Computed, not measured: crystalline ThTlCu at its relaxed geometry at the PBE level of DFT.

Results
Raw total energy: -4.74 eV per atom
Total magnetic moment: 0.0 μB per formula unit
Formation energy from the elements: -112 meV/atom

Cell and atoms, written as CIF:
```
data_ThTlCu
_chemical_formula_sum 'Th4 Tl4 Cu4'
_space_group_name_H-M_alt 'P n m a'
_space_group_IT_number 62
_space_group_name_Hall '-P 2ac 2n'
_cell_length_a 7.445
_cell_length_b 4.742
_cell_length_c 8.053
_cell_angle_alpha 90.00
_cell_angle_beta 90.00
_cell_angle_gamma 90.00
loop_
_atom_site_label
_atom_site_fract_x
_atom_site_fract_y
_atom_site_fract_z
Th1 0.009 0.250 0.222
Tl1 0.210 0.250 0.588
Cu1 0.198 0.750 0.418
```



4.
Computed, not measured: crystalline Th2TlCu at its relaxed geometry at the PBE level of DFT.

Results
Raw total energy: -5.33 eV per atom
Total magnetic moment: 0.0 μB per formula unit
Formation energy from the elements: -1 meV/atom

Cell and atoms, written as CIF:
```
data_Th2TlCu
_chemical_formula_sum 'Th16 Tl8 Cu8'
_space_group_name_H-M_alt 'F m m m'
_space_group_IT_number 69
_space_group_name_Hall '-F 2 2'
_cell_length_a 8.807
_cell_length_b 9.717
_cell_length_c 9.743
_cell_angle_alpha 90.00
_cell_angle_beta 90.00
_cell_angle_gamma 90.00
loop_
_atom_site_label
_atom_site_fract_x
_atom_site_fract_y
_atom_site_fract_z
Th1 0.223 0.000 0.000
Th2 0.250 0.250 0.250
Tl1 0.000 0.000 0.280
Cu1 0.000 0.227 0.500
```



5.
Computed, not measured: crystalline Th2TlCu3 at its relaxed geometry at the PBE level of DFT.

Results
Raw total energy: -5.00 eV per atom
Total magnetic moment: 0.0 μB per formula unit
Formation energy from the elements: -79 meV/atom

Cell and atoms, written as CIF:
```
data_Th2TlCu3
_chemical_formula_sum 'Th4 Tl2 Cu6'
_space_group_name_H-M_alt 'I m m 2'
_space_group_IT_number 44
_space_group_name_Hall 'I 2 -2'
_cell_length_a 3.739
_cell_length_b 4.315
_cell_length_c 16.846
_cell_angle_alpha 90.00
_cell_angle_beta 90.00
_cell_angle_gamma 90.00
loop_
_atom_site_label
_atom_site_fract_x
_atom_site_fract_y
_atom_site_fract_z
Th1 0.000 0.000 0.000
Th2 0.000 0.500 0.208
Tl1 0.000 0.000 0.391
Cu1 0.000 0.000 0.563
Cu2 0.000 0.500 0.638
Cu3 0.000 0.500 0.781
```



6.
Computed, not measured: crystalline ThTlCu at its relaxed geometry at the PBE level of DFT.

Results
Raw total energy: -4.72 eV per atom
Total magnetic moment: 0.0 μB per formula unit
Formation energy from the elements: -92 meV/atom

Cell and atoms, written as CIF:
```
data_ThTlCu
_chemical_formula_sum 'Th1 Tl1 Cu1'
_space_group_name_H-M_alt 'P -6 m 2'
_space_group_IT_number 187
_space_group_name_Hall 'P -6 2'
_cell_length_a 4.7510
_cell_length_b 4.7510
_cell_length_c 3.6711
_cell_angle_alpha 90.00
_cell_angle_beta 90.00
_cell_angle_gamma 120.00
loop_
_atom_site_label
_atom_site_fract_x
_atom_site_fract_y
_atom_site_fract_z
Th1 0.0000 0.0000 0.0000
Tl1 0.3333 0.6667 0.5000
Cu1 0.6667 0.3333 0.5000
```



7.
Computed, not measured: crystalline Th2TlCu at its relaxed geometry at the PBE level of DFT.

Results
Raw total energy: -5.31 eV per atom
Total magnetic moment: 0.0 μB per formula unit
Formation energy from the elements: 14 meV/atom

Cell and atoms, written as CIF:
```
data_Th2TlCu
_chemical_formula_sum 'Th8 Tl4 Cu4'
_space_group_name_H-M_alt 'F m -3 m'
_space_group_IT_number 225
_space_group_name_Hall '-F 4 2 3'
_cell_length_a 7.541
_cell_length_b 7.541
_cell_length_c 7.541
_cell_angle_alpha 90.00
_cell_angle_beta 90.00
_cell_angle_gamma 90.00
loop_
_atom_site_label
_atom_site_fract_x
_atom_site_fract_y
_atom_site_fract_z
Th1 0.250 0.250 0.250
Tl1 0.000 0.000 0.000
Cu1 0.000 0.000 0.500
```



8.
Computed, not measured: crystalline ThTlCu at its relaxed geometry at the PBE level of DFT.

Results
Raw total energy: -4.73 eV per atom
Total magnetic moment: 0.0 μB per formula unit
Formation energy from the elements: -106 meV/atom

Cell and atoms, written as CIF:
```
data_ThTlCu
_chemical_formula_sum 'Th4 Tl4 Cu4'
_space_group_name_H-M_alt 'C m c m'
_space_group_IT_number 63
_space_group_name_Hall '-C 2c 2'
_cell_length_a 3.731
_cell_length_b 17.364
_cell_length_c 4.522
_cell_angle_alpha 90.00
_cell_angle_beta 90.00
_cell_angle_gamma 90.00
loop_
_atom_site_label
_atom_site_fract_x
_atom_site_fract_y
_atom_site_fract_z
Th1 0.000 0.094 0.250
Tl1 0.000 0.293 0.250
Cu1 0.000 0.461 0.250
```



9.
Computed, not measured: crystalline Th2TlCu at its relaxed geometry at the PBE level of DFT.

Results
Raw total energy: -5.33 eV per atom
Total magnetic moment: 0.0 μB per formula unit
Formation energy from the elements: 0 meV/atom

Cell and atoms, written as CIF:
```
data_Th2TlCu
_chemical_formula_sum 'Th2 Tl1 Cu1'
_space_group_name_H-M_alt 'P 4/m m m'
_space_group_IT_number 123
_space_group_name_Hall '-P 4 2'
_cell_length_a 4.829
_cell_length_b 4.829
_cell_length_c 4.480
_cell_angle_alpha 90.00
_cell_angle_beta 90.00
_cell_angle_gamma 90.00
loop_
_atom_site_label
_atom_site_fract_x
_atom_site_fract_y
_atom_site_fract_z
Th1 0.000 0.500 0.000
Tl1 0.000 0.000 0.500
Cu1 0.500 0.500 0.500
```



10.
Computed, not measured: crystalline ThTlZnCu at its relaxed geometry at the PBE level of DFT.

Results
Raw total energy: -3.87 eV per atom
Total magnetic moment: 0.0 μB per formula unit
Formation energy from the elements: -76 meV/atom

Cell and atoms, written as CIF:
```
data_ThTlZnCu
_chemical_formula_sum 'Th4 Tl4 Zn4 Cu4'
_space_group_name_H-M_alt 'F -4 3 m'
_space_group_IT_number 216
_space_group_name_Hall 'F -4 2 3'
_cell_length_a 7.002
_cell_length_b 7.002
_cell_length_c 7.002
_cell_angle_alpha 90.00
_cell_angle_beta 90.00
_cell_angle_gamma 90.00
loop_
_atom_site_label
_atom_site_fract_x
_atom_site_fract_y
_atom_site_fract_z
Th1 0.000 0.000 0.000
Tl1 0.000 0.000 0.500
Zn1 0.250 0.250 0.750
Cu1 0.250 0.250 0.250
```



11.
Computed, not measured: crystalline TmThCu4 at its relaxed geometry at the PBE level of DFT.

Results
Raw total energy: -4.83 eV per atom
Total magnetic moment: 0.0 μB per formula unit
Formation energy from the elements: -115 meV/atom

Cell and atoms, written as CIF:
```
data_TmThCu4
_chemical_formula_sum 'Tm4 Th4 Cu16'
_space_group_name_H-M_alt 'F -4 3 m'
_space_group_IT_number 216
_space_group_name_Hall 'F -4 2 3'
_cell_length_a 7.485
_cell_length_b 7.485
_cell_length_c 7.485
_cell_angle_alpha 90.00
_cell_angle_beta 90.00
_cell_angle_gamma 90.00
loop_
_atom_site_label
_atom_site_fract_x
_atom_site_fract_y
_atom_site_fract_z
Tm1 0.000 0.000 0.000
Th1 0.250 0.250 0.250
Cu1 0.126 0.126 0.626
```



12.
Computed, not measured: crystalline Tm2ThCu9 at its relaxed geometry at the PBE level of DFT.

Results
Raw total energy: -4.63 eV per atom
Total magnetic moment: 0.0 μB per formula unit
Formation energy from the elements: -194 meV/atom

Cell and atoms, written as CIF:
```
data_Tm2ThCu9
_chemical_formula_sum 'Tm4 Th2 Cu18'
_space_group_name_H-M_alt 'P 63/m m c'
_space_group_IT_number 194
_space_group_name_Hall '-P 6c 2c'
_cell_length_a 5.2048
_cell_length_b 5.2048
_cell_length_c 16.4674
_cell_angle_alpha 90.00
_cell_angle_beta 90.00
_cell_angle_gamma 120.00
loop_
_atom_site_label
_atom_site_fract_x
_atom_site_fract_y
_atom_site_fract_z
Tm1 0.3333 0.6667 0.0357
Th1 0.3333 0.6667 0.2500
Cu1 0.0000 0.0000 0.0000
Cu2 0.0000 0.0000 0.2500
Cu3 0.1672 0.3344 0.6252
Cu4 0.3333 0.6667 0.7500
```



13.
Computed, not measured: crystalline Tm3ThCu4 at its relaxed geometry at the PBE level of DFT.

Results
Raw total energy: -4.87 eV per atom
Total magnetic moment: 0.0 μB per formula unit
Formation energy from the elements: -216 meV/atom

Cell and atoms, written as CIF:
```
data_Tm3ThCu4
_chemical_formula_sum 'Tm3 Th1 Cu4'
_space_group_name_H-M_alt 'P 4/m m m'
_space_group_IT_number 123
_space_group_name_Hall '-P 4 2'
_cell_length_a 4.901
_cell_length_b 4.901
_cell_length_c 6.916
_cell_angle_alpha 90.00
_cell_angle_beta 90.00
_cell_angle_gamma 90.00
loop_
_atom_site_label
_atom_site_fract_x
_atom_site_fract_y
_atom_site_fract_z
Tm1 0.000 0.000 0.000
Tm2 0.000 0.000 0.500
Tm3 0.500 0.500 0.000
Th1 0.500 0.500 0.500
Cu1 0.000 0.500 0.240
```